Here is a relaxed structure of KF2 from the Alexandria database. Energies are from PBE.

- D(E_F) (states/eV/f.u.) = 0.67
- M_tot (μB/f.u.) = 1.0
- formation energy (no corrections) (eV/atom) = -1.579

Cell: 5.0561 5.0561 5.0561 Å, 60.00 60.00 60.00°
Closest atoms and distances in Å follow each position.
Element x y z (fractional)
1 K 0.1250 0.1250 0.1250  12 F 2.96, 4 K 3.10
2 K 0.8750 0.8750 0.8750  12 F 2.96, 4 K 3.10
3 F 0.0000 0.5000 0.5000  6 F 2.53
4 F 0.5000 0.0000 0.5000  6 F 2.53
5 F 0.5000 0.5000 0.0000  6 F 2.53
6 F 0.5000 0.5000 0.5000  6 F 2.53

Here is a relaxed structure of KF2 from the Alexandria database. Energies are from PBE.

- M_tot (μB/f.u.) = 1.0
- formation energy (no corrections) (eV/atom) = -1.838

Cell: 5.0575 5.0575 5.0270 Å, 90.00 90.00 90.00°
Closest atoms and distances in Å follow each position.
Element x y z (fractional)
1 K 0.0000 0.0000 0.0000  6 F 2.59-2.70
2 K 0.5000 0.5000 0.5000  6 F 2.59-2.70
3 F 0.1379 0.1379 0.5000  1 F 1.97
4 F 0.3621 0.6379 0.0000  1 F 1.97
5 F 0.6379 0.3621 0.0000  1 F 1.97
6 F 0.8621 0.8621 0.5000  1 F 1.97

Here is a relaxed structure of KF from the Alexandria database. Energies are from PBE.

- D(E_F) (states/eV/f.u.) = 0.00
- M_tot (μB/f.u.) = 0.0
- formation energy (no corrections) (eV/atom) = -2.627

Cell: 3.2554 3.2554 3.2554 Å, 90.00 90.00 90.00°
Closest atoms and distances in Å follow each position.
Element x y z (fractional)
1 K 0.0000 0.0000 0.0000  8 F 2.82
2 F 0.5000 0.5000 0.5000  8 K 2.82

Here is a relaxed structure of K2F3 from the Alexandria database. Energies are from PBE.

- M_tot (μB/f.u.) = 1.0
- formation energy (no corrections) (eV/atom) = -2.188

Cell: 5.1547 5.1547 6.8858 Å, 90.00 90.00 95.01°
Closest atoms and distances in Å follow each position.
Element x y z (fractional)
1 K 0.1190 0.3714 0.0000  6 F 2.63-2.81
2 K 0.3714 0.1190 0.5000  6 F 2.63-2.81
3 K 0.6286 0.8810 0.0000  6 F 2.63-2.81
4 K 0.8810 0.6286 0.5000  6 F 2.63-2.81
5 F 0.1072 0.8928 0.8131  1 F 2.43
6 F 0.2967 0.7033 0.2679  1 F 2.22
7 F 0.4150 0.5850 0.7153  2 F 2.22-2.43
8 F 0.5850 0.4150 0.2153  2 F 2.22-2.43
9 F 0.7033 0.2967 0.7679  1 F 2.22
10 F 0.8928 0.1072 0.3131  1 F 2.43

Here is a relaxed structure of KF from the Alexandria database. Energies are from PBE.

- D(E_F) (states/eV/f.u.) = 0.00
- M_tot (μB/f.u.) = 0.1
- formation energy (no corrections) (eV/atom) = -2.619

Cell: 8.0841 8.0841 8.0841 Å, 90.00 90.00 90.00°
Closest atoms and distances in Å follow each position.
Element x y z (fractional)
1 K 0.1622 0.1622 0.8378  4 F 2.51-2.59
2 K 0.1622 0.8378 0.1622  4 F 2.51-2.59
3 K 0.3378 0.3378 0.3378  4 F 2.51-2.59
4 K 0.3378 0.6622 0.6622  4 F 2.51-2.59
5 K 0.6622 0.3378 0.6622  4 F 2.51-2.59
6 K 0.6622 0.6622 0.3378  4 F 2.51-2.59
7 K 0.8378 0.1622 0.1622  4 F 2.51-2.59
8 K 0.8378 0.8378 0.8378  4 F 2.51-2.59
9 F 0.1586 0.1586 0.1586  4 K 2.51-2.59
10 F 0.1586 0.8414 0.8414  4 K 2.51-2.59
11 F 0.3414 0.3414 0.6586  4 K 2.51-2.59
12 F 0.3414 0.6586 0.3414  4 K 2.51-2.59
13 F 0.6586 0.3414 0.3414  4 K 2.51-2.59
14 F 0.6586 0.6586 0.6586  4 K 2.51-2.59
15 F 0.8414 0.1586 0.8414  4 K 2.51-2.59
16 F 0.8414 0.8414 0.1586  4 K 2.51-2.59

Here is a relaxed structure of KF from the Alexandria database. Energies are from PBE.

- D(E_F) (states/eV/f.u.) = 0.00
- M_tot (μB/f.u.) = 0.1
- formation energy (no corrections) (eV/atom) = -2.729

Cell: 5.4118 5.4118 5.4118 Å, 90.00 90.00 90.00°
Closest atoms and distances in Å follow each position.
Element x y z (fractional)
1 K 0.0000 0.0000 0.0000  6 F 2.71
2 K 0.0000 0.5000 0.5000  6 F 2.71
3 K 0.5000 0.0000 0.5000  6 F 2.71
4 K 0.5000 0.5000 0.0000  6 F 2.71
5 F 0.0000 0.0000 0.5000  6 K 2.71
6 F 0.0000 0.5000 0.0000  6 K 2.71
7 F 0.5000 0.0000 0.0000  6 K 2.71
8 F 0.5000 0.5000 0.5000  6 K 2.71